Crystalline Sr2CrCo at its relaxed geometry. Source: Alexandria, functional PBE.

Cell lengths 5.236, 5.236, 5.236 Å; angles 60.00, 60.00, 60.00 degrees
Fractional coordinates of all 4 atoms:
1 Cr 0.750 0.750 0.750
2 Co 0.500 0.500 0.500
3 Sr 0.000 0.000 0.000
4 Sr 0.250 0.250 0.250

Output
SG   F-43m, No. 216
Energy above the lowest structure with this stoichiometry   206 kJ/mol of formula units
Fermi-level density of states   7.405 states/eV per cell
E_form   20.63 kcal/mol of atoms

---

Crystalline LiAgAu4 at its relaxed geometry. Source: Alexandria, functional PBE.

Cell lengths 5.501, 5.501, 5.501 Å; angles 60.00, 60.00, 60.00 degrees
Fractional coordinates of all 6 atoms:
1 Au 0.625 0.125 0.625
2 Au 0.125 0.625 0.625
3 Au 0.625 0.625 0.625
4 Ag 0.000 0.000 0.000
5 Li 0.250 0.250 0.250
6 Au 0.625 0.625 0.125

Output
SG   F-43m, No. 216
Energy above the lowest structure with this stoichiometry   39 kJ/mol of formula units
Fermi-level density of states   1.600 states/eV per cell
E_form   -3.71 kcal/mol of atoms

---

Crystalline Sm3HAu at its relaxed geometry. Source: Alexandria, functional PBE.

Cell lengths 4.855, 4.855, 4.855 Å; angles 90.00, 90.00, 90.00 degrees
Fractional coordinates of all 5 atoms:
1 Sm 0.500 0.000 0.000
2 Au 0.500 0.500 0.500
3 Sm 0.000 0.500 0.000
4 Sm 0.000 0.000 0.500
5 H 0.000 0.000 0.000

Output
SG   Pm-3m, No. 221
Electronic total energy   -4.474 eV per atom
Fermi-level density of states   6.154 states/eV per cell

---

Crystalline Tb6Tl2BiTe3 at its relaxed geometry. Source: Alexandria, functional PBE.

Cell lengths 4.321, 9.019, 9.990 Å; angles 106.21, 102.49, 90.00 degrees
Fractional coordinates of all 12 atoms:
1 Tl 0.829 0.652 0.657
2 Tl 0.171 0.348 0.343
3 Te 0.163 0.842 0.327
4 Tb 0.005 0.252 0.010
5 Tb 0.664 0.593 0.329
6 Tb 0.995 0.748 0.990
7 Te 0.837 0.158 0.673
8 Tb 0.336 0.407 0.671
9 Bi 0.500 0.000 0.000
10 Tb 0.668 0.096 0.336
11 Te 0.500 0.500 0.000
12 Tb 0.332 0.904 0.664

Output
SG   C2/m, No. 12
Raw formation energy   -916 meV per atom
Fermi-level density of states   4.681 states/eV per cell

---

Crystalline AcSeIO4 at its relaxed geometry. Source: Alexandria, functional PBE.

Cell lengths 6.745, 6.745, 7.307 Å; angles 79.14, 79.14, 67.87 degrees
Fractional coordinates of all 14 atoms:
1 Se 0.633 0.633 0.746
2 O 0.482 0.482 0.774
3 O 0.518 0.518 0.226
4 Ac 0.249 0.249 0.839
5 O 0.852 0.507 0.861
6 I 0.968 0.968 0.754
7 Ac 0.751 0.751 0.161
8 O 0.299 0.299 0.481
9 O 0.493 0.148 0.139
10 Se 0.367 0.367 0.254
11 O 0.507 0.852 0.861
12 O 0.148 0.493 0.139
13 O 0.701 0.701 0.519
14 I 0.032 0.032 0.246

Output
SG   C2/m, No. 12
Raw formation energy   -1583 meV per atom

---

Crystalline TbVSi at its relaxed geometry. Source: Alexandria, functional PBE.

Cell lengths 3.371, 3.371, 5.540 Å; angles 107.70, 107.70, 90.03 degrees
Fractional coordinates of all 3 atoms:
1 V 0.624 0.624 0.248
2 Si 0.043 0.043 0.086
3 Tb 0.333 0.333 0.666

Output
SG   I4mm, No. 107
Raw formation energy   -163 meV per atom
Fermi-level density of states   1.456 states/eV per cell

---

Crystalline SmTaBi2O8 at its relaxed geometry. Source: Alexandria, functional PBE.

Cell lengths 5.097, 5.097, 6.941 Å; angles 90.00, 90.00, 89.31 degrees
Fractional coordinates of all 12 atoms:
1 O 0.816 0.184 0.217
2 O 0.717 0.717 0.000
3 O 0.816 0.184 0.783
4 O 0.283 0.283 0.000
5 Bi 0.500 0.500 0.243
6 O 0.184 0.816 0.783
7 O 0.318 0.317 0.500
8 O 0.682 0.683 0.500
9 Sm 0.000 0.000 0.500
10 Bi 0.500 0.500 0.757
11 Ta 0.000 0.000 0.000
12 O 0.184 0.816 0.217

Output
SG   Cmmm, No. 65
Raw formation energy   -2034 meV per atom
Fermi-level density of states   3.328 states/eV per cell

---

Crystalline LiLaRe2 at its relaxed geometry. Source: Alexandria, functional PBE.

Cell lengths 7.885, 7.885, 6.081 Å; angles 49.59, 49.59, 90.00 degrees
Fractional coordinates of all 8 atoms:
1 Re 0.566 0.125 0.250
2 La 0.000 0.000 0.000
3 Li 0.500 0.500 0.000
4 Re 0.875 0.816 0.750
5 Re 0.184 0.625 0.250
6 Re 0.375 0.434 0.750
7 Li 0.250 0.750 0.500
8 La 0.750 0.250 0.500

Output
SG   I-42d, No. 122
Energy above the lowest structure with this stoichiometry   273 kJ/mol of formula units
Fermi-level density of states   11.868 states/eV per cell
E_form   21.80 kcal/mol of atoms

---

Crystalline AcSmPb2 at its relaxed geometry. Source: Alexandria, functional PBE.

Cell lengths 3.848, 8.448, 17.514 Å; angles 90.00, 90.00, 90.00 degrees
Fractional coordinates of all 16 atoms:
1 Sm 0.750 0.452 0.889
2 Pb 0.750 0.252 0.498
3 Ac 0.250 0.945 0.867
4 Pb 0.250 0.302 0.252
5 Pb 0.750 0.698 0.748
6 Ac 0.750 0.055 0.133
7 Pb 0.250 0.748 0.502
8 Pb 0.250 0.802 0.248
9 Sm 0.250 0.548 0.111
10 Ac 0.750 0.555 0.367
11 Sm 0.250 0.048 0.389
12 Ac 0.250 0.445 0.633
13 Pb 0.750 0.752 0.002
14 Sm 0.750 0.952 0.611
15 Pb 0.250 0.248 0.998
16 Pb 0.750 0.198 0.752

Output
SG   Pnma, No. 62
Fermi-level density of states   9.451 states/eV per cell
E_form   -9.27 kcal/mol of atoms

---

Crystalline ErZnAs2 at its relaxed geometry. Source: Alexandria, functional PBE.

Cell lengths 4.017, 4.017, 6.636 Å; angles 72.38, 72.38, 60.00 degrees
Fractional coordinates of all 4 atoms:
1 Zn 0.000 0.000 0.000
2 As 0.742 0.742 0.773
3 Er 0.500 0.500 0.500
4 As 0.258 0.258 0.227

Output
SG   R-3m, No. 166
Fermi-level density of states   2.031 states/eV per cell
E_form   -12.16 kcal/mol of atoms

---

Crystalline SrZrW2 at its relaxed geometry. Source: Alexandria, functional PBE.

Cell lengths 6.183, 6.183, 6.183 Å; angles 147.30, 132.63, 58.76 degrees
Fractional coordinates of all 4 atoms:
1 W 0.970 0.970 0.000
2 Sr 0.226 0.726 0.500
3 Zr 0.498 0.498 0.000
4 W 0.806 0.306 0.500

Output
SG   Imm2, No. 44
Energy above the lowest structure with this stoichiometry   94 kJ/mol of formula units
Fermi-level density of states   2.853 states/eV per cell
E_form   17.60 kcal/mol of atoms

---

Crystalline TlSbH2 at its relaxed geometry. Source: Alexandria, functional PBE.

Cell lengths 5.090, 5.466, 11.857 Å; angles 90.00, 90.00, 90.00 degrees
Fractional coordinates of all 16 atoms:
1 Sb 0.078 0.553 0.374
2 Tl 0.080 0.965 0.124
3 Tl 0.420 0.465 0.624
4 H 0.463 0.761 0.813
5 H 0.963 0.761 0.687
6 Sb 0.578 0.553 0.126
7 H 0.860 0.469 0.484
8 Tl 0.580 0.965 0.376
9 H 0.360 0.469 0.016
10 Tl 0.920 0.465 0.876
11 Sb 0.922 0.053 0.626
12 Sb 0.422 0.053 0.874
13 H 0.537 0.261 0.187
14 H 0.140 0.969 0.516
15 H 0.640 0.969 0.984
16 H 0.037 0.261 0.313

Output
SG   Pna2_1, No. 33
Energy above the lowest structure with this stoichiometry   0 kJ/mol of formula units